VASP calculation (PBE+U) on a geometry-optimized KCrAg2F6 structure.

Cell lengths 5.9624, 6.2351, 10.3568 Å; angles 90.00, 124.67, 90.00 degrees
Last column: nearest neighbours and their distance in Å.
Fractional positions:
K  0.0000  0.0000  0.0000  6 F 2.54-2.78
K  0.0000  0.5000  0.5000  6 F 2.54-2.78
Cr  0.5000  0.0000  0.5000  6 F 1.94-1.97
Cr  0.5000  0.5000  0.0000  6 F 1.94-1.97
Ag  0.2241  0.0418  0.7354  4 F 2.41-2.52
Ag  0.2241  0.4582  0.2354  4 F 2.41-2.52
Ag  0.7759  0.5417  0.7646  4 F 2.41-2.52
Ag  0.7759  0.9582  0.2646  4 F 2.41-2.52
F  0.1887  0.1564  0.4654  1 Cr 1.94
F  0.1887  0.3436  0.9654  1 Cr 1.94
F  0.2574  0.7486  0.8991  1 Cr 1.97
F  0.2574  0.7514  0.3991  1 Cr 1.97
F  0.4149  0.1021  0.2970  1 Cr 1.97
F  0.4149  0.3979  0.7970  1 Cr 1.97
F  0.5851  0.6021  0.2030  1 Cr 1.97
F  0.5851  0.8979  0.7030  1 Cr 1.97
F  0.7426  0.2486  0.6009  1 Cr 1.97
F  0.7426  0.2514  0.1009  1 Cr 1.97
F  0.8113  0.6564  0.0346  1 Cr 1.94
F  0.8113  0.8436  0.5346  1 Cr 1.94

Computed properties:
- E: -92.937 eV for the cell shown
- Spin magnetization: 2.91 μB per formula unit
- Space-group type: P2_1/c
- Calculated volume: 15.8 Å³/atom